[1]
A geometry-optimized Pr2SiBi structure. Source: Alexandria, functional GGA-PBE.

Calculated values
E_form (uncorrected): -686 meV/atom
total magnetic moment: 0.0 μB/f.u.

Cell: 4.3933 4.3933 22.6109 Å, 90.00 90.00 120.00°
Space group R-3m (No. 166, hexagonal axes)
One atom of each set of equivalent atoms:
Pr 0.0000 0.0000 0.2420 (multiplicity 6)
Si 0.0000 0.0000 0.5000 (multiplicity 3)
Bi 0.0000 0.0000 0.0000 (multiplicity 3)



[2]
A geometry-optimized RbCaSc2 structure. Source: Alexandria, functional GGA-PBE.

Calculated values
distance to the lowest polymorph of the same formula: 0.00 kJ per mole of atoms
total magnetic moment: 1.1 μB/f.u.
formation energy: 0.540 eV per atom

Cell: 3.4989 3.4989 38.9177 Å, 90.00 90.00 120.00°
Space group R-3m (No. 166, hexagonal axes)
One atom of each set of equivalent atoms:
Rb 0.0000 0.0000 0.0000 (multiplicity 3)
Ca 0.0000 0.0000 0.5000 (multiplicity 3)
Sc 0.0000 0.0000 0.0909 (multiplicity 6)



[3]
A geometry-optimized Pr2TeI structure. Source: Alexandria, functional GGA-PBE.

Calculated values
distance to the lowest polymorph of the same formula: 32.83 kJ per mole of atoms
E_form (uncorrected): -813 meV/atom
total magnetic moment: 0.8 μB/f.u.

Cell: 4.1567 4.1567 10.5341 Å, 90.00 90.00 120.00°
Space group P3m1 (No. 156)
One atom of each set of equivalent atoms:
Pr 0.0000 0.0000 0.0000 (multiplicity 1)
Pr 0.3333 0.6667 0.5201 (multiplicity 1)
Te 0.0000 0.0000 0.7086 (multiplicity 1)
I 0.3333 0.6667 0.2141 (multiplicity 1)



[4]
A geometry-optimized TmBMo structure. Source: Alexandria, functional GGA-PBE.

Calculated values
total magnetic moment: 0.0 μB/f.u.
formation energy: 0.001 eV per atom

Cell: 4.721 8.487 17.742 Å, 90.00 90.00 90.00°
Space group Fddd (No. 70, origin choice 2)
One atom of each set of equivalent atoms:
Tm 0.125 0.289 0.125 (multiplicity 16)
B 0.125 0.125 0.000 (multiplicity 16)
Mo 0.125 0.125 0.539 (multiplicity 16)



[5]
A geometry-optimized Sm2Dy3Hg2 structure. Source: Alexandria, functional GGA-PBE.

Calculated values
distance to the lowest polymorph of the same formula: 0.00 kJ per mole of atoms
total magnetic moment: 0.0 μB/f.u.
formation energy: -0.237 eV per atom

Cell: 5.4031 5.4031 23.9382 Å, 90.00 90.00 120.00°
Space group R-3m (No. 166, hexagonal axes)
One atom of each set of equivalent atoms:
Sm 0.0000 0.0000 0.0755 (multiplicity 6)
Dy 0.0000 0.0000 0.3422 (multiplicity 6)
Dy 0.0000 0.0000 0.5000 (multiplicity 3)
Hg 0.0000 0.0000 0.2136 (multiplicity 6)



[6]
A geometry-optimized BaYSb2 structure. Source: Alexandria, functional GGA-PBE.

Calculated values
distance to the lowest polymorph of the same formula: 7.39 kJ per mole of atoms
E_form (uncorrected): -877 meV/atom
total magnetic moment: 0.0 μB/f.u.

Cell: 3.566 4.195 8.585 Å, 90.00 95.21 90.00°
Space group P2/m (No. 10)
One atom of each set of equivalent atoms:
Ba 0.000 0.000 0.000 (multiplicity 1)
Y 0.000 0.000 0.500 (multiplicity 1)
Sb 0.462 0.500 0.720 (multiplicity 2)



[7]
A geometry-optimized ScAlCr4 structure. Source: Alexandria, functional GGA-PBE.

Calculated values
total magnetic moment: 0.0 μB/f.u.
formation energy: 0.044 eV per atom

Cell: 6.935 6.935 6.935 Å, 90.00 90.00 90.00°
Space group F-43m (No. 216)
One atom of each set of equivalent atoms:
Sc 0.000 0.000 0.000 (multiplicity 4)
Al 0.250 0.250 0.750 (multiplicity 4)
Cr 0.124 0.124 0.376 (multiplicity 16)



Look up the total magnetic moment of the sixth one.
0.0 μB/f.u.